*i*
VASP calculation (PBE-GGA) on a geometry-optimized Mn3ZnAg structure.

The total magnetization comes out at 11.91 μB/f.u. The value obtained for the volume is 98 Å³ per cell. Its mass density is 5.70 g/cm³.

It has space group Pm-3m (No. 221), with a = 4.618 Å, b = 4.618 Å, c = 4.618 Å, α = 90.00°, β = 90.00° and γ = 90.00°. The inequivalent atoms are Mn at (0.000, 0.000, 0.500), Zn at (0.000, 0.000, 0.000) and Ag at (0.500, 0.500, 0.500).


*ii*
VASP calculation (PBE-GGA) on a geometry-optimized Mn3ZnAg structure.

The total magnetization comes out at 13.25 μB/f.u. The value obtained for the volume is 121 Å³ per cell. Its mass density is 4.65 g/cm³.

It has space group Pm-3m (No. 221), with a = 4.943 Å, b = 4.943 Å, c = 4.943 Å, α = 90.00°, β = 90.00° and γ = 90.00°. The inequivalent atoms are Mn at (0.000, 0.000, 0.500), Zn at (0.500, 0.500, 0.500) and Ag at (0.000, 0.000, 0.000).


The structure with the most favorable energy is *i*; the runner-up is 262 meV/atom above it.


*i*
VASP calculation (PBE-GGA) on a geometry-optimized MnZnAg3 structure.

The total magnetization comes out at 4.39 μB/f.u. The value obtained for the volume is 123 Å³ per cell. Its mass density is 5.99 g/cm³.

It has space group Pm-3m (No. 221), with a = 4.973 Å, b = 4.973 Å, c = 4.973 Å, α = 90.00°, β = 90.00° and γ = 90.00°. The inequivalent atoms are Mn at (0.000, 0.000, 0.000), Zn at (0.500, 0.500, 0.500) and Ag at (0.000, 0.000, 0.500).


*ii*
VASP calculation (PBE-GGA) on a geometry-optimized MnZnAg3 structure.

The total magnetization comes out at 4.49 μB/f.u. The value obtained for the volume is 110 Å³ per cell. Its mass density is 6.71 g/cm³.

It has space group Pm-3m (No. 221), with a = 4.789 Å, b = 4.789 Å, c = 4.789 Å, α = 90.00°, β = 90.00° and γ = 90.00°. The inequivalent atoms are Mn at (0.000, 0.000, 0.000), Zn at (0.500, 0.500, 0.500) and Ag at (0.000, 0.500, 0.500).


The structure with the most favorable energy is *ii*; the runner-up is 233 meV/atom above it.


*i*
VASP calculation (PBE-GGA) on a geometry-optimized Zr2Mn2Ag structure.

The total magnetization comes out at 4.18 μB/f.u. The value obtained for the volume is 188 Å³ per cell. Its mass density is 7.08 g/cm³.

It has space group P4/mbm (No. 127), with a = 7.736 Å, b = 7.736 Å, c = 3.139 Å, α = 90.00°, β = 90.00° and γ = 90.00°. The inequivalent atoms are Zr at (0.149, 0.351, 0.000), Mn at (0.140, 0.640, 0.500) and Ag at (0.000, 0.000, 0.000).


*ii*
VASP calculation (PBE-GGA) on a geometry-optimized Zr2Mn2Ag structure.

The total magnetization comes out at 3.91 μB/f.u. The value obtained for the volume is 179 Å³ per cell. Its mass density is 7.43 g/cm³.

It has space group P4/mbm (No. 127), with a = 7.102 Å, b = 7.102 Å, c = 3.547 Å, α = 90.00°, β = 90.00° and γ = 90.00°. The inequivalent atoms are Zr at (0.170, 0.330, 0.000), Mn at (0.125, 0.625, 0.500) and Ag at (0.000, 0.000, 0.500).


The structure with the most favorable energy is *ii*; the runner-up is 287 meV/atom above it.


*i*
VASP calculation (PBE-GGA) on a geometry-optimized ZrMn3Ag structure.

The total magnetization comes out at 9.45 μB/f.u. The value obtained for the volume is 110 Å³ per cell. Its mass density is 5.50 g/cm³.

It has space group Pm-3m (No. 221), with a = 4.790 Å, b = 4.790 Å, c = 4.790 Å, α = 90.00°, β = 90.00° and γ = 90.00°. The inequivalent atoms are Zr at (0.000, 0.000, 0.000), Mn at (0.000, 0.000, 0.500) and Ag at (0.500, 0.500, 0.500).


*ii*
VASP calculation (PBE-GGA) on a geometry-optimized ZrMn3Ag structure.

The total magnetization comes out at 10.79 μB/f.u. The value obtained for the volume is 111 Å³ per cell. Its mass density is 5.42 g/cm³.

It has space group Pm-3m (No. 221), with a = 4.813 Å, b = 4.813 Å, c = 4.813 Å, α = 90.00°, β = 90.00° and γ = 90.00°. The inequivalent atoms are Zr at (0.000, 0.000, 0.000), Mn at (0.000, 0.500, 0.500) and Ag at (0.500, 0.500, 0.500).


The structure with the most favorable energy is *ii*; the runner-up is 227 meV/atom above it.


*i*
VASP calculation (PBE-GGA) on a geometry-optimized ZrMnAg3 structure.

The total magnetization comes out at 0.00 μB/f.u. The value obtained for the volume is 106 Å³ per cell. Its mass density is 7.38 g/cm³.

It has space group Pm-3m (No. 221), with a = 4.727 Å, b = 4.727 Å, c = 4.727 Å, α = 90.00°, β = 90.00° and γ = 90.00°. The inequivalent atoms are Zr at (0.000, 0.000, 0.000), Mn at (0.500, 0.500, 0.500) and Ag at (0.000, 0.500, 0.500).


*ii*
VASP calculation (PBE-GGA) on a geometry-optimized ZrMnAg3 structure.

The total magnetization comes out at 5.29 μB/f.u. The value obtained for the volume is 143 Å³ per cell. Its mass density is 5.44 g/cm³.

It has space group Pm-3m (No. 221), with a = 5.233 Å, b = 5.233 Å, c = 5.233 Å, α = 90.00°, β = 90.00° and γ = 90.00°. The inequivalent atoms are Zr at (0.000, 0.000, 0.000), Mn at (0.500, 0.500, 0.500) and Ag at (0.000, 0.000, 0.500).


The structure with the most favorable energy is *i*; the runner-up is 232 meV/atom above it.


*i*
VASP calculation (PBE-GGA) on a geometry-optimized AgMo3 structure.

The total magnetization comes out at 0.00 μB/f.u. The value obtained for the volume is 66 Å³ per cell. Its mass density is 10.01 g/cm³.

It has space group P4/mmm (No. 123), with a = 3.287 Å, b = 3.287 Å, c = 6.073 Å, α = 90.00°, β = 90.00° and γ = 90.00°. The inequivalent atoms are Ag at (0.000, 0.000, 0.000), Mo at (0.000, 0.000, 0.500) and Mo at (0.500, 0.500, 0.273).


*ii*
VASP calculation (PBE-GGA) on a geometry-optimized AgMo3 structure.

The total magnetization comes out at 11.47 μB/f.u. The value obtained for the volume is 142 Å³ per cell. Its mass density is 4.64 g/cm³.

It has space group Pm-3m (No. 221), with a = 5.212 Å, b = 5.212 Å, c = 5.212 Å, α = 90.00°, β = 90.00° and γ = 90.00°. The inequivalent atoms are Ag at (0.000, 0.000, 0.000) and Mo at (0.000, 0.000, 0.500).


*iii*
VASP calculation (PBE-GGA) on a geometry-optimized AgMo3 structure.

The total magnetization comes out at 0.00 μB/f.u. The value obtained for the volume is 197 Å³ per cell. Its mass density is 10.00 g/cm³.

It has space group R-3m (No. 166, hexagonal axes), with a = 2.7713 Å, b = 2.7713 Å, c = 29.6459 Å, α = 90.00°, β = 90.00° and γ = 120.00°. The inequivalent atoms are Ag at (0.0000, 0.0000, 0.0000), Mo at (0.0000, 0.0000, 0.2486) and Mo at (0.0000, 0.0000, 0.5000).


*iv*
VASP calculation (PBE-GGA) on a geometry-optimized AgMo3 structure.

The total magnetization comes out at 0.00 μB/f.u. The value obtained for the volume is 130 Å³ per cell. Its mass density is 10.07 g/cm³.

It has space group Immm (No. 71), with a = 3.336 Å, b = 4.458 Å, c = 8.775 Å, α = 90.00°, β = 90.00° and γ = 90.00°. The inequivalent atoms are Ag at (0.000, 0.000, 0.000), Mo at (0.000, 0.000, 0.500) and Mo at (0.000, 0.500, 0.232).


The structure with the most favorable energy is *i*; the runner-up is 17 meV/atom above it.


*i*
VASP calculation (PBE-GGA) on a geometry-optimized AgMo3 structure.

The total magnetization comes out at 0.00 μB/f.u. The value obtained for the volume is 129 Å³ per cell. Its mass density is 10.21 g/cm³.

It has space group Pm-3n (No. 223), with a = 5.049 Å, b = 5.049 Å, c = 5.049 Å, α = 90.00°, β = 90.00° and γ = 90.00°. The inequivalent atoms are Ag at (0.000, 0.000, 0.000) and Mo at (0.000, 0.250, 0.500).


*ii*
VASP calculation (PBE-GGA) on a geometry-optimized AgMo3 structure.

The total magnetization comes out at 0.00 μB/f.u. The value obtained for the volume is 131 Å³ per cell. Its mass density is 10.05 g/cm³.

It has space group P6_3/mmc (No. 194), with a = 5.7412 Å, b = 5.7412 Å, c = 4.5799 Å, α = 90.00°, β = 90.00° and γ = 120.00°. The inequivalent atoms are Ag at (0.3333, 0.6667, 0.2500) and Mo at (0.1551, 0.3102, 0.7500).


*iii*
VASP calculation (PBE-GGA) on a geometry-optimized AgMo3 structure.

The total magnetization comes out at 0.00 μB/f.u. The value obtained for the volume is 129 Å³ per cell. Its mass density is 10.19 g/cm³.

It has space group I4/mmm (No. 139), with a = 4.080 Å, b = 4.080 Å, c = 7.744 Å, α = 90.00°, β = 90.00° and γ = 90.00°. The inequivalent atoms are Ag at (0.000, 0.000, 0.000), Mo at (0.000, 0.000, 0.500) and Mo at (0.000, 0.500, 0.250).


The structure with the most favorable energy is *ii*; the runner-up is 11 meV/atom above it.


*i*
VASP calculation (PBE-GGA) on a geometry-optimized AgMo3 structure.

The total magnetization comes out at 0.00 μB/f.u. The value obtained for the volume is 260 Å³ per cell. Its mass density is 10.12 g/cm³.

It has space group Cmcm (No. 63), with a = 9.057 Å, b = 6.530 Å, c = 4.393 Å, α = 90.00°, β = 90.00° and γ = 90.00°. The inequivalent atoms are Ag at (0.000, 0.125, 0.250), Mo at (0.000, 0.395, 0.750) and Mo at (0.244, 0.138, 0.750).


*ii*
VASP calculation (PBE-GGA) on a geometry-optimized AgMo3 structure.

The total magnetization comes out at 0.00 μB/f.u. The value obtained for the volume is 65 Å³ per cell. Its mass density is 10.06 g/cm³.

It has space group P4/mmm (No. 123), with a = 2.653 Å, b = 2.653 Å, c = 9.287 Å, α = 90.00°, β = 90.00° and γ = 90.00°. The inequivalent atoms are Ag at (0.000, 0.000, 0.000), Mo at (0.000, 0.000, 0.500) and Mo at (0.500, 0.500, 0.252).


*iii*
VASP calculation (PBE-GGA) on a geometry-optimized AgMo3 structure.

The total magnetization comes out at 0.00 μB/f.u. The value obtained for the volume is 66 Å³ per cell. Its mass density is 9.99 g/cm³.

It has space group P-6m2 (No. 187), with a = 2.7752 Å, b = 2.7752 Å, c = 9.8598 Å, α = 90.00°, β = 90.00° and γ = 120.00°. The inequivalent atoms are Ag at (0.0000, 0.0000, 0.0000), Mo at (0.0000, 0.0000, 0.5000) and Mo at (0.3333, 0.6667, 0.2556).


*iv*
VASP calculation (PBE-GGA) on a geometry-optimized AgMo3 structure.

The total magnetization comes out at 0.00 μB/f.u. The value obtained for the volume is 194 Å³ per cell. Its mass density is 10.16 g/cm³.

It has space group R-3m (No. 166, hexagonal axes), with a = 9.2188 Å, b = 9.2188 Å, c = 2.6362 Å, α = 90.00°, β = 90.00° and γ = 120.00°. The inequivalent atoms are Ag at (0.0000, 0.0000, 0.0000) and Mo at (0.0000, 0.5000, 0.0000).


The structure with the most favorable energy is *i*; the runner-up is 8 meV/atom above it.